No. 1
Below is a geometry-optimized AsIrRh3 structure, with properties calculated at the PBE level.

Computed properties:
**Raw total energy**: -6.1688 eV per atom
**Excess energy over the best structure of this formula in the dataset**: 0.0 meV per atom
**Density**: 10.7 g cm⁻³
**E_form**: 0.9442 eV/atom

a = 4.4724 Å, b = 4.4724 Å, c = 4.4724 Å
α = 90.00°, β = 90.00°, γ = 90.00°
Last column: nearest neighbours and their distance in Å.
Fractional positions:
As 0.0000 0.0000 0.0000  6 Rh 2.24
Ir 0.5000 0.5000 0.5000  12 Rh 3.16
Rh 0.0000 0.0000 0.5000  2 As 2.24
Rh 0.0000 0.5000 0.0000  2 As 2.24
Rh 0.5000 0.0000 0.0000  2 As 2.24

No. 2
Below is a geometry-optimized CeZnGaAu structure, with properties calculated at the PBE level.

Computed properties:
**Raw total energy**: -3.8272 eV per atom
**Excess energy over the best structure of this formula in the dataset**: 4.8 meV per atom
**Density**: 9.6 g cm⁻³
**E_form**: -0.4492 eV/atom

a = 6.8963 Å, b = 6.8963 Å, c = 6.8963 Å
α = 90.00°, β = 90.00°, γ = 90.00°
Last column: nearest neighbours and their distance in Å.
Fractional positions:
Ce 0.0000 0.0000 0.0000  4 Ga 2.99, 4 Au 2.99
Ce 0.0000 0.5000 0.5000  4 Ga 2.99, 4 Au 2.99
Ce 0.5000 0.0000 0.5000  4 Ga 2.99, 4 Au 2.99
Ce 0.5000 0.5000 0.0000  4 Ga 2.99, 4 Au 2.99
Zn 0.0000 0.0000 0.5000  4 Ga 2.99, 4 Au 2.99
Zn 0.0000 0.5000 0.0000  4 Ga 2.99, 4 Au 2.99
Zn 0.5000 0.0000 0.0000  4 Ga 2.99, 4 Au 2.99
Zn 0.5000 0.5000 0.5000  4 Ga 2.99, 4 Au 2.99
Ga 0.2500 0.2500 0.2500  4 Ce 2.99, 4 Zn 2.99
Ga 0.2500 0.7500 0.7500  4 Ce 2.99, 4 Zn 2.99
Ga 0.7500 0.2500 0.7500  4 Ce 2.99, 4 Zn 2.99
Ga 0.7500 0.7500 0.2500  4 Ce 2.99, 4 Zn 2.99
Au 0.2500 0.2500 0.7500  4 Ce 2.99, 4 Zn 2.99
Au 0.2500 0.7500 0.2500  4 Ce 2.99, 4 Zn 2.99
Au 0.7500 0.2500 0.2500  4 Ce 2.99, 4 Zn 2.99
Au 0.7500 0.7500 0.7500  4 Zn 2.99, 4 Ce 2.99

No. 3
Below is a geometry-optimized CsLa2Tc2N6 structure, with properties calculated at the PBE level.

Computed properties:
**Raw total energy**: -7.9005 eV per atom
**Formation energy without anion corrections**: -0.501 eV/atom
**Density**: 4.6 g cm⁻³

a = 6.7996 Å, b = 6.8169 Å, c = 7.1626 Å
α = 63.17°, β = 63.31°, γ = 62.20°
Last column: nearest neighbours and their distance in Å.
Fractional positions:
Cs 0.0000 0.0000 0.0000  6 N 3.38-3.77
La 0.3227 0.3229 0.2829  4 N 2.39-2.50
La 0.6773 0.6771 0.7171  4 N 2.39-2.50
Tc 0.3833 0.3817 0.6821  3 N 1.78-1.84
Tc 0.6167 0.6183 0.3179  3 N 1.78-1.84
N 0.0956 0.5079 0.6607  1 Tc 1.78
N 0.4284 0.4251 0.8937  1 Tc 1.84
N 0.4895 0.9044 0.3412  1 Tc 1.78
N 0.5105 0.0956 0.6588  1 Tc 1.78
N 0.5716 0.5749 0.1063  1 Tc 1.84
N 0.9044 0.4921 0.3393  1 Tc 1.78